K3InHg12: optimized geometry, PBE.

Calculated values
ΔE_f (eV per atom): -0.1627
SG: No. 123
Mass density (kg/m3): 9125
Spin magnetization (μB per formula unit): 0.000
Total DFT energy (no corrections) (eV per atom): -0.7660

Lattice parameters (Å, degrees): 5.020 5.020 19.059 90.00 90.00 90.00
Fractional positions:
K  0.000  0.000  0.000
K  0.000  0.000  0.262
K  0.000  0.000  0.738
In  0.000  0.000  0.500
Hg  0.000  0.500  0.131
Hg  0.000  0.500  0.389
Hg  0.000  0.500  0.611
Hg  0.000  0.500  0.869
Hg  0.500  0.000  0.131
Hg  0.500  0.000  0.389
Hg  0.500  0.000  0.611
Hg  0.500  0.000  0.869
Hg  0.500  0.500  0.000
Hg  0.500  0.500  0.270
Hg  0.500  0.500  0.500
Hg  0.500  0.500  0.730



BaSrZnGa: optimized geometry, PBE.

Calculated values
ΔE_f (eV per atom): -0.2561
SG: No. 216
Excess energy over the best structure of this formula in the dataset (meV/atom): 26
Mass density (kg/m3): 4653
Spin magnetization (μB per formula unit): 0.000
Total DFT energy (no corrections) (eV per atom): -2.2325

Lattice parameters (Å, degrees): 8.011 8.011 8.011 90.00 90.00 90.00
Fractional positions:
Ba  0.000  0.000  0.000
Ba  0.000  0.500  0.500
Ba  0.500  0.000  0.500
Ba  0.500  0.500  0.000
Sr  0.000  0.000  0.500
Sr  0.000  0.500  0.000
Sr  0.500  0.000  0.000
Sr  0.500  0.500  0.500
Zn  0.250  0.250  0.750
Zn  0.250  0.750  0.250
Zn  0.750  0.250  0.250
Zn  0.750  0.750  0.750
Ga  0.250  0.250  0.250
Ga  0.250  0.750  0.750
Ga  0.750  0.250  0.750
Ga  0.750  0.750  0.250



What is the formula in the second record?
BaSrZnGa



Among the records above, which one has the lowest ΔE_f?
BaSrZnGa



mass density of number 1 (K3InHg12)?
9125 kg/m3